A relaxed MgZn3Ga2 crystal. Source: the Alexandria database, functional GGA-PBE.

```
data_MgZn3Ga2
_space_group_name_H-M_alt 'P 6/m m m'
_space_group_IT_number 191
_space_group_name_Hall '-P 6 2'
_cell_length_a 5.3740
_cell_length_b 5.3740
_cell_length_c 4.3946
_cell_angle_alpha 90.00
_cell_angle_beta 90.00
_cell_angle_gamma 120.00
loop_
_atom_site_label
_atom_site_fract_x
_atom_site_fract_y
_atom_site_fract_z
Mg1 0.0000 0.0000 0.0000
Zn1 0.0000 0.5000 0.5000
Ga1 0.3333 0.6667 0.0000
```

The value obtained for the formation energy from the elements is 0.05 eV per atom. For the total energy, the calculation gives -11.1 eV per cell. The value obtained for the relative energy among the computed polymorphs is 92 meV per atom.